First-principles (PBE) data for a relaxed structure of ZnMo2Os, as listed in Alexandria via LeMat-Bulk.

a = 4.867 Å, b = 4.867 Å, c = 4.867 Å
α = 133.21°, β = 133.21°, γ = 68.32°
Element x y z (fractional)
Mo 0.250 0.750 0.500
Zn 0.750 0.250 0.500
Mo 0.000 0.000 0.000
Os 0.500 0.500 0.000

## Properties
As for the formation energy: 0.213 eV per atom. As for the volume: 15.04 A^3/atom. The calculation puts the density at 12.4 g cm⁻³.